1.
Computed, not measured: a relaxed structure of ZrCr3Fe at the GGA-PBE level of DFT.

The density of states at the Fermi level is 7.166 states/eV/f.u. For the energy relative to the elements, the calculation gives 0.76 eV/atom. The final energy is -8.4139 eV per atom.

The space group is Pm-3m (No. 221) and the conventional cell measures 4.271, 4.271 and 4.271 Å, with angles of 90.00, 90.00 and 90.00 degrees. The distinct sites, in fractional coordinates, are Zr at (0.000, 0.000, 0.000), Cr at (0.000, 0.500, 0.500) and Fe at (0.500, 0.500, 0.500).

=====

2.
Computed, not measured: a relaxed structure of ZrCrFe at the GGA-PBE level of DFT.

The density of states at the Fermi level is 4.078 states/eV/f.u. For the energy relative to the elements, the calculation gives 0.47 eV/atom. The final energy is -8.4114 eV per atom.

The space group is F-43m (No. 216) and the conventional cell measures 5.890, 5.890 and 5.890 Å, with angles of 90.00, 90.00 and 90.00 degrees. The distinct sites, in fractional coordinates, are Zr at (0.000, 0.000, 0.000), Cr at (0.000, 0.000, 0.500) and Fe at (0.250, 0.250, 0.750).

=====

3.
Computed, not measured: a relaxed structure of ZrCrFe at the GGA-PBE level of DFT.

The density of states at the Fermi level is 2.574 states/eV/f.u. For the energy relative to the elements, the calculation gives -0.14 eV/atom. The final energy is -9.0163 eV per atom.

The space group is Amm2 (No. 38) and the conventional cell measures 8.287, 4.984 and 8.513 Å, with angles of 90.00, 90.00 and 90.00 degrees. The distinct sites, in fractional coordinates, are Zr at (0.186, 0.000, 0.000), Zr at (0.310, 0.000, 0.333), Cr at (0.000, 0.000, 0.507), Cr at (0.500, 0.000, 0.836), Cr at (0.500, 0.248, 0.082), Fe at (0.000, 0.247, 0.257) and Fe at (0.247, 0.000, 0.665).

=====

4.
Computed, not measured: a relaxed structure of Zr2CrFe2 at the GGA-PBE level of DFT.

The density of states at the Fermi level is 5.718 states/eV/f.u. For the energy relative to the elements, the calculation gives 0.01 eV/atom. The final energy is -8.7151 eV per atom.

The space group is P4/mbm (No. 127) and the conventional cell measures 6.033, 6.033 and 4.317 Å, with angles of 90.00, 90.00 and 90.00 degrees. The distinct sites, in fractional coordinates, are Zr at (0.182, 0.318, 0.000), Cr at (0.000, 0.000, 0.500) and Fe at (0.137, 0.637, 0.500).

=====

5.
Computed, not measured: a relaxed structure of ZrCrFe at the GGA-PBE level of DFT.

The density of states at the Fermi level is 3.836 states/eV/f.u. For the energy relative to the elements, the calculation gives 1.05 eV/atom. The final energy is -7.8299 eV per atom.

The space group is F-43m (No. 216) and the conventional cell measures 6.074, 6.074 and 6.074 Å, with angles of 90.00, 90.00 and 90.00 degrees. The distinct sites, in fractional coordinates, are Zr at (0.000, 0.000, 0.000), Cr at (0.250, 0.250, 0.250) and Fe at (0.250, 0.250, 0.750).

=====

6.
Computed, not measured: a relaxed structure of ZrCrFe at the GGA-PBE level of DFT.

The density of states at the Fermi level is 3.044 states/eV/f.u. For the energy relative to the elements, the calculation gives 0.10 eV/atom. The final energy is -8.7824 eV per atom.

The space group is I4mm (No. 107) and the conventional cell measures 2.907, 2.907 and 10.601 Å, with angles of 90.00, 90.00 and 90.00 degrees. The distinct sites, in fractional coordinates, are Zr at (0.000, 0.000, 0.000), Cr at (0.000, 0.000, 0.306) and Fe at (0.000, 0.000, 0.698).

=====

7.
Computed, not measured: a relaxed structure of Zr2CrFe at the GGA-PBE level of DFT.

The density of states at the Fermi level is 3.947 states/eV/f.u. For the energy relative to the elements, the calculation gives 0.36 eV/atom. The final energy is -8.4362 eV per atom.

The space group is R-3m (No. 166, hexagonal axes) and the conventional cell measures 3.1621, 3.1621 and 24.6617 Å, with angles of 90.00, 90.00 and 120.00 degrees. The distinct sites, in fractional coordinates, are Zr at (0.0000, 0.0000, 0.2455), Cr at (0.0000, 0.0000, 0.0000) and Fe at (0.0000, 0.0000, 0.5000).

=====

8.
Computed, not measured: a relaxed structure of ZrCrFe at the GGA-PBE level of DFT.

The density of states at the Fermi level is 3.780 states/eV/f.u. For the energy relative to the elements, the calculation gives 0.24 eV/atom. The final energy is -8.6422 eV per atom.

The space group is Cmcm (No. 63) and the conventional cell measures 3.700, 12.643 and 3.942 Å, with angles of 90.00, 90.00 and 90.00 degrees. The distinct sites, in fractional coordinates, are Zr at (0.000, 0.089, 0.250), Cr at (0.000, 0.359, 0.250) and Fe at (0.000, 0.251, 0.750).

=====

9.
Computed, not measured: a relaxed structure of ZrCrFe2 at the GGA-PBE level of DFT.

The density of states at the Fermi level is 4.401 states/eV/f.u. For the energy relative to the elements, the calculation gives 0.42 eV/atom. The final energy is -8.3585 eV per atom.

The space group is R3m (No. 160, hexagonal axes) and the conventional cell measures 2.7839, 2.7839 and 26.0486 Å, with angles of 90.00, 90.00 and 120.00 degrees. The distinct sites, in fractional coordinates, are Zr at (0.0000, 0.0000, 0.0000), Cr at (0.0000, 0.0000, 0.7630), Fe at (0.0000, 0.0000, 0.2405) and Fe at (0.0000, 0.0000, 0.5003).

=====

10.
Computed, not measured: a relaxed structure of ZrCrFe at the GGA-PBE level of DFT.

The density of states at the Fermi level is 2.933 states/eV/f.u. For the energy relative to the elements, the calculation gives -0.13 eV/atom. The final energy is -9.0069 eV per atom.

The space group is Imma (No. 74) and the conventional cell measures 4.776, 5.188 and 7.005 Å, with angles of 90.00, 90.00 and 90.00 degrees. The distinct sites, in fractional coordinates, are Zr at (0.000, 0.250, 0.123), Cr at (0.250, 0.250, 0.750) and Fe at (0.000, 0.000, 0.500).

=====

11.
Computed, not measured: a relaxed structure of ZrCrFe3 at the GGA-PBE level of DFT.

The density of states at the Fermi level is 6.875 states/eV/f.u. For the energy relative to the elements, the calculation gives 1.62 eV/atom. The final energy is -7.0901 eV per atom.

The space group is Pm-3m (No. 221) and the conventional cell measures 4.567, 4.567 and 4.567 Å, with angles of 90.00, 90.00 and 90.00 degrees. The distinct sites, in fractional coordinates, are Zr at (0.000, 0.000, 0.000), Cr at (0.500, 0.500, 0.500) and Fe at (0.000, 0.000, 0.500).

=====

12.
Computed, not measured: a relaxed structure of ZrCrFe2 at the GGA-PBE level of DFT.

The density of states at the Fermi level is 1.317 states/eV/f.u. For the energy relative to the elements, the calculation gives 0.12 eV/atom. The final energy is -8.6575 eV per atom.

The space group is F-43m (No. 216) and the conventional cell measures 6.081, 6.081 and 6.081 Å, with angles of 90.00, 90.00 and 90.00 degrees. The distinct sites, in fractional coordinates, are Zr at (0.000, 0.000, 0.000), Cr at (0.250, 0.250, 0.750), Fe at (0.000, 0.000, 0.500) and Fe at (0.250, 0.250, 0.250).